Record 1
First-principles (PBE) data for a geometry-optimized HoHfNi2As2 structure, as listed in the Open Quantum Materials Database.

Geometry as POSCAR:
```
HoHfNi2As2
1.0
3.9850 0.0000 0.0000
-1.9925 3.4511 0.0000
0.0000 0.0000 14.7365
As Hf Ho Ni
4 2 2 4
direct
0.3333 0.6667 0.1216
0.3333 0.6667 0.3784
0.6667 0.3333 0.6216
0.6667 0.3333 0.8784
0.0000 0.0000 0.2500
0.0000 0.0000 0.7500
0.0000 0.0000 0.0000
0.0000 0.0000 0.5000
0.6667 0.3333 0.1571
0.6667 0.3333 0.3429
0.3333 0.6667 0.6571
0.3333 0.6667 0.8429
```

Output
Energy above the lowest structure with this stoichiometry (meV/atom): 0

***

Record 2
First-principles (PBE) data for a geometry-optimized HoHfNi2As2 structure, as listed in the Open Quantum Materials Database.

Geometry as POSCAR:
```
HoHfNi2As2
1.0
-1.3610 1.3922 -3.4416
3.0793 -2.4800 0.0505
-9.3910 -11.6809 -1.0115
As Hf Ho Ni
4 2 2 4
direct
0.3333 0.6667 0.1218
0.3333 0.6667 0.3782
0.6667 0.3333 0.6218
0.6667 0.3333 0.8782
0.0000 0.0000 0.0000
0.0000 0.0000 0.5000
0.0000 0.0000 0.2500
0.0000 0.0000 0.7500
0.6667 0.3333 0.1104
0.6667 0.3333 0.3896
0.3333 0.6667 0.6104
0.3333 0.6667 0.8896
```

Output
Energy above the lowest structure with this stoichiometry (meV/atom): 85

***

Record 3
First-principles (PBE) data for a geometry-optimized HoHfAsO structure, as listed in the Open Quantum Materials Database.

Geometry as POSCAR:
```
HoHfAsO
1.0
4.0542 0.0000 0.0000
0.0000 7.5130 0.0000
0.0000 0.0000 5.1089
As Hf Ho O
2 2 2 2
direct
0.0000 0.3915 0.4385
0.0000 0.6085 0.9385
0.0000 0.7553 0.4384
0.0000 0.2447 0.9384
0.5000 0.1391 0.4385
0.5000 0.8609 0.9385
0.5000 0.8315 0.4386
0.5000 0.1685 0.9386
```

Output
Energy above the lowest structure with this stoichiometry (meV/atom): 158

***

> Which value of energy above the lowest structure with this stoichiometry does entry 2 give?

85 meV/atom

***

> Which of these has the lowest energy above the lowest structure with this stoichiometry?

number 1